Record 1
This record from Alexandria via LeMat-Bulk describes an optimized crystal structure of CeNiP. The functional is PBEsol.

Values from the calculation:
- N(E_F): 4.08 states/eV/f.u.
- Formation enthalpy at 0 K: -3.535 eV/f.u.
- Space-group type: P6_3/mmc (194)
- Total magnetic moment: 0.81 μB/cell

The structure in extended XYZ format:
```
6
Lattice="-0.214 0.748 -3.809 -2.631 -2.321 1.676 -4.527 6.193 1.471" Properties=species:S:1:pos:R:3 pbc="T T T"
Ni -2.957 0.250 0.215
Ni -4.415 4.370 -0.878
Ce -2.264 3.097 0.735
Ce 0.000 0.000 0.000
P -2.151 1.274 -1.613
P -5.220 3.347 0.951
```

=====

Record 2
This record from Alexandria via LeMat-Bulk describes an optimized crystal structure of Ce5NiPb3. The functional is PBEsol.

Values from the calculation:
- N(E_F): 24.89 states/eV/f.u.
- Formation enthalpy at 0 K: -2.851 eV/f.u.
- Space-group type: P6_3/mcm (193)
- Total magnetic moment: 9.33 μB/cell

The structure in extended XYZ format:
```
18
Lattice="6.212 0.000 0.000 0.000 9.446 0.000 0.000 -4.723 8.180" Properties=species:S:1:pos:R:3 pbc="T T T"
Ce 4.659 3.573 6.188
Ce 1.553 1.150 1.992
Ce 1.553 -3.573 6.188
Ce 4.659 -1.150 1.992
Ce 0.000 0.000 5.454
Ce 0.000 4.723 2.727
Ce 1.553 7.145 0.000
Ce 4.659 2.301 0.000
Ce 3.106 0.000 5.454
Ce 3.106 4.723 2.727
Ni 3.106 0.000 0.000
Ni 0.000 0.000 0.000
Pb 1.553 2.870 4.971
Pb 4.659 1.853 3.210
Pb 4.659 5.740 0.000
Pb 1.553 -1.853 3.210
Pb 4.659 -2.870 4.971
Pb 1.553 3.706 0.000
```

=====

Record 3
This record from Alexandria via LeMat-Bulk describes an optimized crystal structure of Ce2NiPt. The functional is PBEsol.

Values from the calculation:
- N(E_F): 7.84 states/eV/f.u.
- Formation enthalpy at 0 K: -2.349 eV/f.u.
- Space-group type: Amm2 (38)
- Total magnetic moment: 0.65 μB/cell

The structure in extended XYZ format:
```
4
Lattice="3.719 0.000 0.000 0.000 4.238 0.000 -1.860 0.000 5.333" Properties=species:S:1:pos:R:3 pbc="T T T"
Ce 0.000 0.000 1.499
Ce 1.860 2.119 3.881
Ni 0.000 0.000 4.373
Pt 1.860 2.119 0.913
```

=====

Record 4
This record from Alexandria via LeMat-Bulk describes an optimized crystal structure of CeNiSb3. The functional is PBEsol.

Values from the calculation:
- N(E_F): 5.48 states/eV/f.u.
- Space-group type: Pbcm (57)
- Formation energy from raw total energies: -3.1 eV/f.u.
- Total magnetic moment: 3.65 μB/cell

The structure in extended XYZ format:
```
40
Lattice="6.171 0.000 0.000 0.000 12.028 0.000 0.000 0.000 12.256" Properties=species:S:1:pos:R:3 pbc="T T T"
Ce 1.756 9.021 3.729
Ce 4.628 6.014 3.687
Ce 4.841 9.021 8.527
Ce 4.628 0.000 3.687
Ce 4.415 3.007 8.527
Ce 1.543 0.000 8.568
Ce 1.330 3.007 3.729
Ce 1.543 6.014 8.568
Ni 5.879 1.649 11.018
Ni 0.292 7.663 1.238
Ni 5.879 4.365 11.018
Ni 3.377 7.663 11.018
Ni 3.377 10.379 11.018
Ni 2.793 4.365 1.238
Ni 0.292 10.379 1.238
Ni 2.793 1.649 1.238
Sb 4.415 3.007 2.818
Sb 4.628 6.014 9.436
Sb 2.955 4.519 6.084
Sb 3.677 3.007 11.537
Sb 4.628 0.000 9.436
Sb 1.756 9.021 9.438
Sb 1.543 0.000 11.870
Sb 1.543 6.014 11.870
Sb 2.955 1.495 6.084
Sb 5.579 9.021 11.537
Sb 1.543 0.000 2.820
Sb 0.130 7.509 6.084
Sb 4.841 9.021 2.818
Sb 4.628 0.000 0.386
Sb 2.493 9.021 0.719
Sb 3.215 7.509 6.172
Sb 6.040 4.519 6.172
Sb 4.628 6.014 0.386
Sb 1.543 6.014 2.820
Sb 1.329 3.007 9.438
Sb 3.215 10.532 6.172
Sb 0.130 10.532 6.084
Sb 0.592 3.007 0.719
Sb 6.040 1.495 6.172
```

=====

Record 5
This record from Alexandria via LeMat-Bulk describes an optimized crystal structure of CeNiSb2. The functional is PBEsol.

Values from the calculation:
- N(E_F): 3.86 states/eV/f.u.
- Space-group type: P4/nmm (129)
- Formation energy from raw total energies: -2.9 eV/f.u.
- Total magnetic moment: 0.00 μB/cell

The structure in extended XYZ format:
```
8
Lattice="-0.588 1.370 -4.062 -3.873 -1.928 -0.089 -3.954 7.795 3.202" Properties=species:S:1:pos:R:3 pbc="T T T"
Ce -2.862 0.861 0.705
Ce -3.322 6.654 0.421
Ni -2.230 -0.279 -2.076
Ni 0.000 0.000 0.000
Sb -0.872 1.824 -1.563
Sb -5.313 5.692 2.689
Sb -1.977 3.897 1.601
Sb -4.208 3.618 -0.475
```

=====

Record 6
This record from Alexandria via LeMat-Bulk describes an optimized crystal structure of Ce2Si5Ni17. The functional is PBEsol.

Values from the calculation:
- N(E_F): 16.76 states/eV/f.u.
- Space-group type: I-4m2 (119)
- Formation energy from raw total energies: -12.2 eV/f.u.
- Total magnetic moment: 0.00 μB/cell

The structure in extended XYZ format:
```
24
Lattice="6.143 0.000 0.000 3.071 6.842 0.000 3.071 0.000 6.842" Properties=species:S:1:pos:R:3 pbc="T T T"
Ce 0.000 0.000 0.000
Ce 7.679 3.421 3.421
Si 5.360 1.812 5.031
Si 9.997 5.031 5.031
Si 3.854 1.812 1.812
Si 5.360 5.031 1.812
Si 3.071 0.000 0.000
Ni 9.558 2.866 5.672
Ni 3.415 1.170 3.977
Ni 8.083 6.341 4.654
Ni 1.940 2.188 0.501
Ni 9.558 5.672 2.866
Ni 3.415 3.977 1.170
Ni 8.083 4.654 6.341
Ni 1.940 0.501 2.188
Ni 7.274 0.501 4.654
Ni 7.274 2.188 6.341
Ni 5.800 3.977 5.672
Ni 5.800 1.170 2.866
Ni 7.274 4.654 0.501
Ni 7.274 6.341 2.188
Ni 5.800 5.672 3.977
Ni 5.800 2.866 1.170
Ni 4.607 3.421 3.421
```

=====

Record 7
This record from Alexandria via LeMat-Bulk describes an optimized crystal structure of CeSiNi. The functional is PBEsol.

Values from the calculation:
- N(E_F): 3.37 states/eV/f.u.
- Space-group type: P-6m2 (187)
- Formation energy from raw total energies: -2.2 eV/f.u.
- Total magnetic moment: 0.00 μB/cell

The structure in extended XYZ format:
```
3
Lattice="-2.834 -1.770 -1.705 0.872 -3.388 2.068 -2.615 2.703 1.539" Properties=species:S:1:pos:R:3 pbc="T T T"
Ni 0.000 0.000 0.000
Si -0.290 -1.358 1.892
Ce -2.869 -0.212 0.863
```

=====

Record 8
This record from Alexandria via LeMat-Bulk describes an optimized crystal structure of Ce2Si3Ni. The functional is PBEsol.

Values from the calculation:
- N(E_F): 5.57 states/eV/f.u.
- Space-group type: P-6m2 (187)
- Formation energy from raw total energies: -4.5 eV/f.u.
- Total magnetic moment: 0.00 μB/cell

The structure in extended XYZ format:
```
6
Lattice="4.031 0.000 0.000 -2.016 3.491 0.000 0.000 0.000 7.860" Properties=species:S:1:pos:R:3 pbc="T T T"
Ce 2.016 1.164 5.963
Ce 2.016 1.164 1.897
Si 0.000 2.327 3.930
Si 0.000 0.000 0.000
Si 0.000 0.000 3.930
Ni 0.000 2.327 0.000
```

=====

Record 9
This record from Alexandria via LeMat-Bulk describes an optimized crystal structure of Ce2Si9Ni17. The functional is PBEsol.

Values from the calculation:
- N(E_F): 21.48 states/eV/f.u.
- Space-group type: Fmmm (69)
- Formation energy from raw total energies: -18.4 eV/f.u.
- Total magnetic moment: 0.00 μB/cell

The structure in extended XYZ format:
```
28
Lattice="7.741 0.013 0.000 -0.282 7.736 0.000 -3.730 -3.875 5.639" Properties=species:S:1:pos:R:3 pbc="T T T"
Ce -0.141 3.868 2.820
Ce 3.871 0.007 2.820
Si 2.554 -2.458 4.260
Si -2.554 2.458 4.260
Si -1.303 -1.353 4.319
Si 1.303 1.353 4.319
Si 1.176 6.333 1.379
Si 6.284 1.417 1.379
Si 5.033 5.228 1.320
Si 2.427 2.522 1.320
Si 0.000 0.000 0.000
Ni 5.258 7.288 0.000
Ni 2.202 0.462 0.000
Ni 1.419 4.367 0.000
Ni 6.041 3.382 0.000
Ni 3.150 6.165 0.000
Ni 4.310 1.584 0.000
Ni 0.378 2.218 0.000
Ni 7.082 5.532 0.000
Ni 1.002 -0.964 3.561
Ni -1.002 0.964 3.561
Ni 4.668 4.849 3.562
Ni 2.792 2.900 3.562
Ni 2.728 4.839 2.078
Ni 4.732 2.911 2.078
Ni -0.938 -0.974 2.077
Ni 0.938 0.974 2.077
Ni 3.730 3.875 0.000
```

=====

Record 10
This record from Alexandria via LeMat-Bulk describes an optimized crystal structure of CeSiNi. The functional is PBEsol.

Values from the calculation:
- N(E_F): 3.95 states/eV/f.u.
- Space-group type: I4_1md (109)
- Formation energy from raw total energies: -2.2 eV/f.u.
- Total magnetic moment: 0.00 μB/cell

The structure in extended XYZ format:
```
6
Lattice="3.945 0.000 0.000 0.000 3.945 0.000 -1.973 -1.973 6.975" Properties=species:S:1:pos:R:3 pbc="T T T"
Ni 1.973 0.000 5.789
Ni 1.973 1.973 2.302
Si 1.973 1.973 4.622
Si 0.000 1.973 1.135
Ce 0.000 0.000 3.471
Ce 0.000 1.973 6.958
```

=====

Record 11
This record from Alexandria via LeMat-Bulk describes an optimized crystal structure of Ce2Si5Ni3. The functional is PBEsol.

Values from the calculation:
- N(E_F): 7.62 states/eV/f.u.
- Space-group type: Ibam (72)
- Formation energy from raw total energies: -8.4 eV/f.u.
- Total magnetic moment: 0.45 μB/cell

The structure in extended XYZ format:
```
20
Lattice="5.683 0.000 0.000 2.842 7.338 -0.008 2.842 1.236 7.233" Properties=species:S:1:pos:R:3 pbc="T T T"
Ce 5.683 1.555 4.578
Ce 5.683 7.019 2.647
Ce 8.525 3.798 6.469
Ce 2.842 4.776 0.756
Si 8.525 6.118 3.306
Si 2.842 2.456 3.919
Si 5.683 4.278 1.756
Si 5.683 4.296 5.469
Si 7.104 2.282 1.923
Si 7.104 6.292 5.302
Si 4.262 6.292 5.302
Si 4.262 2.282 1.923
Si 4.262 0.000 0.000
Si 1.421 0.000 0.000
Ni 5.683 0.474 1.776
Ni 5.683 8.100 5.449
Ni 8.525 6.743 7.059
Ni 2.842 1.831 0.166
Ni 7.104 4.287 3.613
Ni 4.262 4.287 3.613
```

=====

Record 12
This record from Alexandria via LeMat-Bulk describes an optimized crystal structure of Ce3Si8Ni2. The functional is PBEsol.

Values from the calculation:
- N(E_F): 13.19 states/eV/f.u.
- Space-group type: Cmmm (65)
- Formation energy from raw total energies: -8.7 eV/f.u.
- Total magnetic moment: 0.82 μB/cell

The structure in extended XYZ format:
```
13
Lattice="4.054 0.000 0.000 0.000 4.127 0.000 -2.027 0.000 12.905" Properties=species:S:1:pos:R:3 pbc="T T T"
Ce 0.000 0.000 0.000
Ce 2.027 2.063 4.851
Ce 0.000 2.063 8.053
Si 2.027 0.000 2.482
Si 0.000 0.000 10.423
Si 2.027 0.000 7.110
Si 0.000 0.000 5.794
Si 2.027 2.063 10.388
Si 0.000 2.063 2.517
Si 2.027 2.063 1.168
Si 0.000 2.063 11.736
Ni 2.027 0.000 9.420
Ni 0.000 0.000 3.484
```

=====

Record 13
This record from Alexandria via LeMat-Bulk describes an optimized crystal structure of CeNiSn. The functional is PBEsol.

Values from the calculation:
- N(E_F): 3.36 states/eV/f.u.
- Formation enthalpy at 0 K: -1.545 eV/f.u.
- Space-group type: P6_3/mmc (194)
- Total magnetic moment: 0.35 μB/cell

The structure in extended XYZ format:
```
6
Lattice="4.438 0.000 0.000 -2.219 3.843 0.000 0.000 0.000 7.382" Properties=species:S:1:pos:R:3 pbc="T T T"
Ce 0.000 0.000 0.000
Ce 0.000 0.000 3.691
Ni 0.000 2.562 1.845
Ni 2.219 1.281 5.536
Sn 0.000 2.562 5.536
Sn 2.219 1.281 1.845
```

=====

Record 14
This record from Alexandria via LeMat-Bulk describes an optimized crystal structure of CeNi5Sn. The functional is PBEsol.

Values from the calculation:
- N(E_F): 6.61 states/eV/f.u.
- Formation enthalpy at 0 K: -2.782 eV/f.u.
- Space-group type: P6_3/mmc (194)
- Total magnetic moment: 0.00 μB/cell

The structure in extended XYZ format:
```
28
Lattice="-4.397 -0.079 1.951 0.510 -0.004 -4.784 0.373 -19.392 0.058" Properties=species:S:1:pos:R:3 pbc="T T T"
Ce -2.482 -14.598 -0.251
Ce 0.187 -9.696 0.029
Ce -1.033 -4.877 -2.525
Ce 0.000 0.000 0.000
Ni -1.243 -6.897 -0.126
Ni -3.528 -2.893 0.841
Ni -3.272 -2.895 -1.561
Ni -0.768 -18.600 -2.484
Ni 0.014 -16.582 -3.617
Ni -2.193 -16.622 -2.638
Ni -1.321 -2.853 -0.138
Ni -3.450 -6.936 0.853
Ni -0.242 -16.580 -1.215
Ni -0.064 -12.539 -3.629
Ni -2.746 -0.875 -0.292
Ni -0.320 -12.536 -1.227
Ni -2.271 -12.578 -2.650
Ni -3.195 -6.938 -1.549
Ni -2.591 -8.929 -0.268
Ni -0.923 -10.546 -2.508
Ni -2.668 -4.902 -0.280
Ni 0.280 -14.544 0.043
Ni -0.846 -14.573 -2.496
Ni 0.093 -4.848 0.014
Sn -2.421 -17.740 -0.242
Sn -0.972 -8.020 -2.515
Sn -1.093 -1.734 -2.534
Sn -2.542 -11.455 -0.260
```

=====

Record 15
This record from Alexandria via LeMat-Bulk describes an optimized crystal structure of CeNiSn. The functional is PBEsol.

Values from the calculation:
- N(E_F): 4.07 states/eV/f.u.
- Formation enthalpy at 0 K: -1.637 eV/f.u.
- Space-group type: C2/m (12)
- Total magnetic moment: 0.59 μB/cell

The structure in extended XYZ format:
```
6
Lattice="-2.350 0.060 -3.624 0.908 -4.830 -0.670 -3.494 -0.930 4.825" Properties=species:S:1:pos:R:3 pbc="T T T"
Ni -2.020 -1.158 1.291
Ni -2.916 -4.542 -0.759
Sn -1.987 -1.175 -1.305
Sn -2.948 -4.524 1.837
Ce -4.566 -2.204 0.350
Ce -0.370 -3.496 0.181
```

=====

Record 16
This record from Alexandria via LeMat-Bulk describes an optimized crystal structure of CeNi4Sn2. The functional is PBEsol.

Values from the calculation:
- N(E_F): 6.56 states/eV/f.u.
- Formation enthalpy at 0 K: -2.964 eV/f.u.
- Space-group type: I4/mcm (140)
- Total magnetic moment: 0.53 μB/cell

The structure in extended XYZ format:
```
14
Lattice="-2.333 1.947 -5.875 -3.032 -5.521 2.018 -1.124 4.603 4.615" Properties=species:S:1:pos:R:3 pbc="T T T"
Ce -3.117 -0.689 4.975
Ce -1.039 -0.230 1.658
Ni -1.883 2.552 2.302
Ni -2.685 1.706 0.108
Ni -2.151 4.538 0.834
Ni -4.351 3.384 0.871
Ni -4.606 -1.523 -1.543
Ni -2.138 -2.355 -0.112
Ni -4.338 -3.510 -0.075
Ni -3.804 -0.677 0.651
Sn -3.130 3.747 -1.442
Sn -2.380 -0.179 -1.516
Sn -4.110 1.208 2.275
Sn -3.360 -2.718 2.201
```

=====

Record 17
This record from Alexandria via LeMat-Bulk describes an optimized crystal structure of Ce2Ni2Sn. The functional is PBEsol.

Values from the calculation:
- N(E_F): 8.20 states/eV/f.u.
- Formation enthalpy at 0 K: -2.365 eV/f.u.
- Space-group type: Immm (71)
- Total magnetic moment: 0.54 μB/cell

The structure in extended XYZ format:
```
5
Lattice="4.387 0.000 0.000 2.194 4.790 -0.115 2.194 1.439 4.571" Properties=species:S:1:pos:R:3 pbc="T T T"
Ce 6.581 4.340 3.104
Ce 2.194 1.889 1.351
Ni 4.387 2.395 3.234
Ni 4.387 3.835 1.221
Sn 0.000 0.000 0.000
```

=====

Record 18
This record from Alexandria via LeMat-Bulk describes an optimized crystal structure of Ce2NiSn4. The functional is PBEsol.

Values from the calculation:
- N(E_F): 11.85 states/eV/f.u.
- Formation enthalpy at 0 K: -3.983 eV/f.u.
- Space-group type: Amm2 (38)
- Total magnetic moment: 1.05 μB/cell

The structure in extended XYZ format:
```
7
Lattice="4.425 0.000 0.000 0.000 4.449 0.000 0.000 -2.225 8.455" Properties=species:S:1:pos:R:3 pbc="T T T"
Ce 0.000 2.225 6.698
Ce 2.213 0.000 1.741
Ni 0.000 2.225 3.216
Sn 0.000 0.000 4.375
Sn 2.213 2.225 4.391
Sn 0.000 2.225 0.762
Sn 2.213 0.000 7.303
```

=====

Record 19
This record from Alexandria via LeMat-Bulk describes an optimized crystal structure of CeNiSn. The functional is PBEsol.

Values from the calculation:
- N(E_F): 3.28 states/eV/f.u.
- Formation enthalpy at 0 K: -1.742 eV/f.u.
- Space-group type: Pnma (62)
- Total magnetic moment: 0.93 μB/cell

The structure in extended XYZ format:
```
12
Lattice="-1.642 -3.167 -2.778 6.128 0.341 -4.011 3.019 -5.221 4.170" Properties=species:S:1:pos:R:3 pbc="T T T"
Ce 2.555 -3.193 -3.389
Ce 4.951 -4.856 0.771
Ce -0.151 -3.983 -0.889
Ce 7.657 -4.065 -1.730
Ni 5.134 -2.765 -1.722
Ni 6.482 -6.923 -1.457
Ni 1.024 -1.125 -1.162
Ni 2.371 -5.283 -0.897
Sn 4.724 -5.247 -2.329
Sn 4.905 -1.005 -3.594
Sn 2.600 -7.044 0.975
Sn 2.781 -2.801 -0.290
```

=====

Record 20
This record from Alexandria via LeMat-Bulk describes an optimized crystal structure of CeZn2Ni3. The functional is PBEsol.

Values from the calculation:
- N(E_F): 5.55 states/eV/f.u.
- Formation enthalpy at 0 K: -1.847 eV/f.u.
- Space-group type: P6/mmm (191)
- Total magnetic moment: 0.28 μB/cell

The structure in extended XYZ format:
```
6
Lattice="-3.751 -0.814 -0.015 0.147 -0.584 -5.055 0.853 -3.986 3.049" Properties=species:S:1:pos:R:3 pbc="T T T"
Ce 0.000 0.000 0.000
Zn 0.382 -1.718 -2.354
Zn 0.618 -2.852 0.348
Ni -1.376 -2.692 -1.010
Ni -1.449 -2.400 1.517
Ni -1.802 -0.699 -2.535
```